First-principles (PBE) data for a geometry-optimized SmGeHO4 structure, as listed in the Open Quantum Materials Database.

Final energy   -0.50201 Ry per atom
Magnetization   0.0 μB per cell
Space-group type   Pbcn

a = 5.2866 Å, b = 11.8750 Å, c = 4.8090 Å
α = 90.00°, β = 90.00°, γ = 90.00°
Sites, in units of the cell vectors:
O 0.3877 0.7983 0.5245
O 0.1123 0.7017 0.0245
O 0.8877 0.7017 0.4755
O 0.1123 0.2983 0.5245
O 0.2606 0.5423 0.6003
O 0.2394 0.0423 0.6003
O 0.7606 0.9577 0.3997
O 0.6123 0.7983 0.9755
O 0.8877 0.2983 0.9755
O 0.2606 0.4577 0.1003
O 0.7394 0.5423 0.8997
O 0.7394 0.4577 0.3997
O 0.2394 0.9577 0.1003
O 0.7606 0.0423 0.8997
O 0.6123 0.2017 0.4755
O 0.3877 0.2017 0.0245
Ge 0.0000 0.6076 0.7500
Ge 0.5000 0.1076 0.7500
Ge 0.0000 0.3924 0.2500
Ge 0.5000 0.8924 0.2500
Sm 0.0000 0.8800 0.7500
Sm 0.5000 0.3800 0.7500
Sm 0.0000 0.1200 0.2500
Sm 0.5000 0.6200 0.2500
H 0.0000 0.2999 0.7500
H 0.5000 0.2001 0.2500
H 0.0000 0.7001 0.2500
H 0.5000 0.7999 0.7500